This record from Alexandria describes a relaxed structure of Ca2TbSe3. The functional is GGA-PBE.

Cell lengths 8.3360, 11.7677, 24.9333 Å; angles 90.00, 90.00, 90.00 degrees
Closest atoms and distances in Å follow each position.
Space group Fddd (No. 70, origin choice 2)
One atom of each set of equivalent atoms:
Ca1 0.1250 0.1250 0.0420  6 Se 2.95-2.96
Ca2 0.1250 0.1250 0.3746  6 Se 2.94-2.96
Tb1 0.1250 0.1250 0.5420  6 Se 2.92
Se1 0.1214 0.3750 0.8750  2 Tb 2.92, 4 Ca 2.94-2.96
Se2 0.1228 0.3731 0.7090  2 Tb 2.92, 4 Ca 2.95-2.96

Calculated values
total energy: -5.11 eV/atom

=====

This record from Alexandria describes a relaxed structure of CaTbSe2. The functional is GGA-PBE.

Cell lengths 4.0506, 4.0506, 21.6309 Å; angles 90.00, 90.00, 120.00 degrees
Closest atoms and distances in Å follow each position.
Space group R3m (No. 160, hexagonal axes)
One atom of each set of equivalent atoms:
Ca1 0.0000 0.0000 0.0000  6 Se 2.93-3.06
Tb1 0.0000 0.0000 0.8261  6 Se 2.88-2.95
Se1 0.0000 0.0000 0.2422  3 Tb 2.95, 3 Ca 3.06
Se2 0.0000 0.0000 0.4146  3 Tb 2.88, 3 Ca 2.93

Calculated values
total energy: -5.20 eV/atom

=====

This record from Alexandria describes a relaxed structure of CaTb6Se8. The functional is GGA-PBE.

Cell lengths 11.5713, 11.5713, 11.5713 Å; angles 90.00, 90.00, 90.00 degrees
Closest atoms and distances in Å follow each position.
Space group Fm-3m (No. 225)
One atom of each set of equivalent atoms:
Ca1 0.0000 0.0000 0.0000  6 Se 2.93
Tb1 0.0000 0.2500 0.2500  6 Se 2.89
Se1 0.0000 0.0000 0.2536  4 Tb 2.89, 1 Ca 2.93
Se2 0.2500 0.2500 0.2500  6 Tb 2.89

Calculated values
total energy: -5.71 eV/atom

=====

This record from Alexandria describes a relaxed structure of CaTb5Se6. The functional is GGA-PBE.

Cell lengths 7.0932, 12.3311, 7.1257 Å; angles 90.00, 109.43, 90.00 degrees
Closest atoms and distances in Å follow each position.
Space group C2/m (No. 12)
One atom of each set of equivalent atoms:
Ca1 0.0000 0.0000 0.0000  6 Se 2.89-2.90
Tb1 0.0000 0.1663 0.5000  6 Se 2.90-2.91
Tb2 0.0000 0.3324 0.0000  6 Se 2.90-2.91
Tb3 0.0000 0.5000 0.5000  6 Se 2.90-2.91
Se1 0.2500 0.0000 0.7521  1 Ca 2.89, 5 Tb 2.91
Se2 0.2501 0.1662 0.2510  5 Tb 2.90-2.91, 1 Ca 2.90

Calculated values
total energy: -5.65 eV/atom

=====

This record from Alexandria describes a relaxed structure of CaTbTeSe. The functional is GGA-PBE.

Cell lengths 4.1602, 4.1602, 22.8008 Å; angles 90.00, 90.00, 120.00 degrees
Closest atoms and distances in Å follow each position.
Space group R3m (No. 160, hexagonal axes)
One atom of each set of equivalent atoms:
Ca1 0.0000 0.0000 0.0000  3 Se 3.08, 3 Te 3.12
Tb1 0.0000 0.0000 0.1620  3 Se 2.98, 3 Te 3.07
Te1 0.0000 0.0000 0.5791  3 Tb 3.07, 3 Ca 3.12
Se1 0.0000 0.0000 0.7514  3 Tb 2.98, 3 Ca 3.08

Calculated values
total energy: -4.87 eV/atom

=====

This record from Alexandria describes a relaxed structure of CaTb2Tm3Se6. The functional is GGA-PBE.

Cell lengths 17.7591, 4.0517, 8.1812 Å; angles 90.00, 103.59, 90.00 degrees
Closest atoms and distances in Å follow each position.
Space group C2/m (No. 12)
One atom of each set of equivalent atoms:
Ca1 0.0000 0.0000 0.0000  6 Se 2.90-2.91
Tb1 0.1716 0.5000 0.3430  6 Se 2.87-2.97
Tm1 0.0000 0.0000 0.5000  6 Se 2.80-2.85
Tm2 0.1680 0.5000 0.8275  6 Se 2.81-2.90
Se1 0.9998 0.5000 0.2545  3 Tm 2.85-2.90, 2 Ca 2.91, 1 Tb 2.97
Se2 0.1625 0.0000 0.5872  3 Tm 2.80-2.81, 3 Tb 2.87-2.88
Se3 0.1677 0.0000 0.0781  3 Tm 2.84-2.88, 1 Ca 2.90, 2 Tb 2.96

Calculated values
total energy: -5.56 eV/atom

=====

This record from Alexandria describes a relaxed structure of CaTb3Y2Se6. The functional is GGA-PBE.

Cell lengths 17.8973, 4.0933, 8.2475 Å; angles 90.00, 103.38, 90.00 degrees
Closest atoms and distances in Å follow each position.
Space group C2/m (No. 12)
One atom of each set of equivalent atoms:
Ca1 0.0000 0.0000 0.0000  6 Se 2.90-2.91
Tb1 0.0000 0.0000 0.5000  6 Se 2.87-2.90
Tb2 0.1673 0.5000 0.8276  6 Se 2.87-2.94
Y1 0.1701 0.5000 0.3400  6 Se 2.87-2.94
Se1 0.0013 0.5000 0.2508  3 Tb 2.90-2.94, 2 Ca 2.91, 1 Y 2.94
Se2 0.1651 0.0000 0.5820  3 Y 2.87, 3 Tb 2.87
Se3 0.1664 0.0000 0.0825  3 Tb 2.90-2.94, 1 Ca 2.90, 2 Y 2.94

Calculated values
total energy: -5.95 eV/atom

=====

This record from Alexandria describes a relaxed structure of CaTb4Y3Se8. The functional is GGA-PBE.

Cell lengths 8.2038, 8.2038, 20.1089 Å; angles 90.00, 90.00, 120.00 degrees
Closest atoms and distances in Å follow each position.
Space group R-3m (No. 166, hexagonal axes)
One atom of each set of equivalent atoms:
Ca1 0.0000 0.0000 0.0000  6 Se 2.90
Tb1 0.0000 0.0000 0.5000  6 Se 2.90
Tb2 0.0000 0.5000 0.5000  6 Se 2.90
Y1 0.0000 0.5000 0.0000  6 Se 2.90
Se1 0.0000 0.0000 0.2503  3 Y 2.90, 3 Tb 2.90
Se2 0.0001 0.5001 0.2502  2 Y 2.90, 1 Ca 2.90, 3 Tb 2.90

Calculated values
total energy: -6.03 eV/atom

=====

This record from Alexandria describes a relaxed structure of Ca2TbYSe4. The functional is GGA-PBE.

Cell lengths 7.1219, 4.1152, 7.2519 Å; angles 90.00, 109.15, 90.00 degrees
Closest atoms and distances in Å follow each position.
Space group P2/m (No. 10)
One atom of each set of equivalent atoms:
Ca1 0.0000 0.0000 0.0000  6 Se 2.94
Ca2 0.5000 0.5000 0.0000  6 Se 2.94
Tb1 0.0000 0.5000 0.5000  6 Se 2.92
Y1 0.5000 0.0000 0.5000  6 Se 2.91
Se1 0.2495 0.0000 0.7468  1 Y 2.91, 2 Tb 2.92, 3 Ca 2.94
Se2 0.2512 0.5000 0.2534  2 Y 2.91, 1 Tb 2.92, 3 Ca 2.94

Calculated values
total energy: -5.51 eV/atom

=====

This record from Alexandria describes a relaxed structure of Ca3Tb2YSe6. The functional is GGA-PBE.

Cell lengths 7.1317, 12.3388, 7.2499 Å; angles 90.00, 109.17, 90.00 degrees
Closest atoms and distances in Å follow each position.
Space group C2/m (No. 12)
One atom of each set of equivalent atoms:
Ca1 0.0000 0.0000 0.0000  6 Se 2.94-2.95
Ca2 0.0000 0.3332 0.0000  6 Se 2.94
Tb1 0.0000 0.1666 0.5000  6 Se 2.92
Y1 0.0000 0.5000 0.5000  6 Se 2.91-2.92
Se1 0.2486 0.3336 0.7468  1 Y 2.91, 2 Tb 2.92, 3 Ca 2.94
Se2 0.2495 0.0000 0.7470  1 Y 2.92, 2 Tb 2.92, 3 Ca 2.94-2.95

Calculated values
total energy: -5.44 eV/atom

=====

This record from Alexandria describes a relaxed structure of Ca3Tb3ZnSe8. The functional is GGA-PBE.

Cell lengths 8.1951, 8.1951, 20.4747 Å; angles 90.00, 90.00, 120.00 degrees
Closest atoms and distances in Å follow each position.
Space group R-3m (No. 166, hexagonal axes)
One atom of each set of equivalent atoms:
Ca1 0.0000 0.5000 0.0000  6 Se 2.93-2.96
Tb1 0.0000 0.5000 0.5000  6 Se 2.88-2.90
Zn1 0.0000 0.0000 0.5000  6 Se 2.78
Se1 0.0000 0.0000 0.2485  3 Tb 2.90, 3 Ca 2.93
Se2 0.0122 0.5061 0.2440  1 Zn 2.78, 2 Tb 2.88, 2 Ca 2.96

Calculated values
total energy: -4.97 eV/atom

=====

This record from Alexandria describes a relaxed structure of Ca4TcSe. The functional is GGA-PBE.

Cell lengths 8.9803, 8.9803, 8.9803 Å; angles 90.00, 90.00, 90.00 degrees
Closest atoms and distances in Å follow each position.
Space group F-43m (No. 216)
One atom of each set of equivalent atoms:
Ca1 0.1239 0.1239 0.3761  6 Ca 3.15-3.20
Tc1 0.2500 0.2500 0.7500  12 Ca 3.72, 4 Se 3.89
Se1 0.0000 0.0000 0.0000  12 Ca 3.73, 4 Tc 3.89

Calculated values
total energy: -2.95 eV/atom

=====

> The highest total energy belongs to which entry?

Ca4TcSe